MgFeCl3 | the Alexandria database | PBE | optimized geometry; raw formation energy = -563 meV/atom; ΔE to the lowest computed polymorph = 0.0 meV per atom; SG = Pm-3m, No. 221
1.0
-0.271 3.809 -3.064
-4.507 0.994 1.634
1.893 2.911 3.452
Fe Cl Mg
1 3 1
direct
0.500 0.500 0.500
0.500 0.000 0.000
0.000 0.500 0.000
0.000 0.000 0.500
0.000 0.000 0.000